[1]
CaTlTe2: optimized geometry, GGA-PBE.

a = 8.955 Å, b = 8.955 Å, c = 8.955 Å
α = 134.17°, β = 134.17°, γ = 66.82°
Fractional coordinates of all 8 atoms:
Ca1 0.000 0.000 0.000
Ca2 0.750 0.250 0.500
Tl1 0.250 0.750 0.500
Tl2 0.500 0.500 0.000
Te1 0.124 0.625 0.999
Te2 0.375 0.374 0.499
Te3 0.626 0.125 0.001
Te4 0.875 0.876 0.501

Crystal system: tetragonal
E_form (uncorrected) in eV per atom: -0.72
V in Å³/atom: 45.44
Total moment in μB per atom: 0.000

[2]
CsRbCl2: optimized geometry, GGA-PBE.

a = 4.105 Å, b = 4.105 Å, c = 8.221 Å
α = 90.00°, β = 90.00°, γ = 90.00°
Fractional coordinates of all 4 atoms:
Cs1 0.000 0.000 0.000
Rb1 0.000 0.000 0.500
Cl1 0.500 0.500 0.260
Cl2 0.500 0.500 0.740

Crystal system: tetragonal
E_form (uncorrected) in eV per atom: -1.90
Relative energy among the computed polymorphs in meV/atom: 54
V in Å³/atom: 34.64
Total moment in μB per atom: 0.000

[3]
SiPt3Pb: optimized geometry, GGA-PBE.

a = 5.049 Å, b = 5.049 Å, c = 5.049 Å
α = 90.00°, β = 90.00°, γ = 90.00°
Fractional coordinates of all 5 atoms:
Si1 0.000 0.000 0.000
Pt1 0.000 0.500 0.500
Pt2 0.500 0.000 0.500
Pt3 0.500 0.500 0.000
Pb1 0.500 0.500 0.500

Crystal system: cubic
E_form (uncorrected) in eV per atom: 1.36
Relative energy among the computed polymorphs in meV/atom: 1436
V in Å³/atom: 25.74
Total moment in μB per atom: 0.000

[4]
FeTcPd2: optimized geometry, GGA-PBE.

a = 9.372 Å, b = 9.372 Å, c = 9.372 Å
α = 157.59°, β = 157.59°, γ = 31.90°
Fractional coordinates of all 8 atoms:
Fe1 0.000 0.000 0.000
Fe2 0.750 0.250 0.500
Tc1 0.250 0.750 0.500
Tc2 0.500 0.500 0.000
Pd1 0.120 0.625 0.995
Pd2 0.375 0.370 0.495
Pd3 0.630 0.125 0.005
Pd4 0.875 0.880 0.505

Crystal system: tetragonal
Relative energy among the computed polymorphs in meV/atom: 290
V in Å³/atom: 14.94
Total moment in μB per atom: 0.001

[5]
Al3SbH: optimized geometry, GGA-PBE.

a = 5.524 Å, b = 5.524 Å, c = 5.524 Å
α = 90.00°, β = 90.00°, γ = 90.00°
Fractional coordinates of all 5 atoms:
Al1 0.000 0.000 0.500
Al2 0.000 0.500 0.000
Al3 0.500 0.000 0.000
Sb1 0.000 0.000 0.000
H1 0.500 0.500 0.500

Crystal system: cubic
Relative energy among the computed polymorphs in meV/atom: 1011
V in Å³/atom: 33.71
Total moment in μB per atom: 0.000

[6]
KPt3O: optimized geometry, GGA-PBE.

a = 4.441 Å, b = 4.441 Å, c = 4.441 Å
α = 90.00°, β = 90.00°, γ = 90.00°
Fractional coordinates of all 5 atoms:
K1 0.000 0.000 0.000
Pt1 0.000 0.500 0.500
Pt2 0.500 0.000 0.500
Pt3 0.500 0.500 0.000
O1 0.500 0.500 0.500

Crystal system: cubic
E_form (uncorrected) in eV per atom: 0.52
Relative energy among the computed polymorphs in meV/atom: 0
V in Å³/atom: 17.52
Total moment in μB per atom: 0.000